Compound: SrY3S4
Source: Alexandria
Functional: PBE
Structure: relaxed

Summary:
Size of the total moment   0.0 μB/cell
Electronic total energy   -53.57 eV for the cell shown
SG   Cmmm
Formation energy from raw total energies   -1999 meV per atom

Cell: 6.9272 6.9272 3.9723 Å, 90.00 90.00 109.10°
With the nearest neighbours (Å) after each atom.
Element x y z (fractional)
Sr1 0.0000 0.0000 0.0000  6 S 2.88-2.89
Y1 0.0000 0.5000 0.5000  6 S 2.82-2.83
Y2 0.5000 0.0000 0.5000  6 S 2.82-2.83
Y3 0.5000 0.5000 0.0000  6 S 2.76
S1 0.2554 0.7446 0.0000  5 Y 2.76-2.83, 1 Sr 2.88
S2 0.2621 0.2621 0.5000  4 Y 2.76-2.82, 2 Sr 2.89
S3 0.7379 0.7379 0.5000  4 Y 2.76-2.82, 2 Sr 2.89
S4 0.7446 0.2554 0.0000  5 Y 2.76-2.83, 1 Sr 2.88

***

Compound: Zr3ZnCo8
Source: Alexandria
Functional: PBE
Structure: relaxed

Summary:
Size of the total moment   5.7 μB/cell
Electronic total energy   -87.02 eV for the cell shown
SG   R3m
DFT formation energy   -26.20 kJ per mole of atoms

Cell: 8.4102 8.4102 8.4102 Å, 33.46 33.46 33.46°
With the nearest neighbours (Å) after each atom.
Element x y z (fractional)
Zr1 0.0000 0.0000 0.0000  12 Co 2.83-2.88, 4 Zr 3.05-3.06
Zr2 0.1286 0.1286 0.1286  12 Co 2.73-2.90, 3 Zn 2.91, 1 Zr 3.06
Zr3 0.6159 0.6159 0.6159  12 Co 2.76-3.01, 1 Zn 2.87, 3 Zr 3.05
Zn1 0.4951 0.4951 0.4951  12 Co 2.77-2.88, 4 Zr 2.87-2.91
Co1 0.0593 0.0593 0.5628  6 Co 2.40-2.44
Co2 0.0593 0.5628 0.0593  6 Co 2.40-2.44
Co3 0.0628 0.5605 0.5605  6 Co 2.41-2.43
Co4 0.3109 0.3109 0.3109  6 Co 2.43-2.44
Co5 0.5605 0.0628 0.5605  6 Co 2.41-2.43
Co6 0.5605 0.5605 0.0628  6 Co 2.41-2.43
Co7 0.5628 0.0593 0.0593  6 Co 2.40-2.44
Co8 0.8113 0.8113 0.8113  6 Co 2.40-2.43